Density functional theory data (GGA-PBE) for SmFe2Sn7 after structural relaxation.

Calculated values
Formation energy from the elements (eV per atom): 0.081

Lattice parameters (Å, degrees): 7.5573 7.5573 4.8574 90.00 90.00 107.98
Atoms (fractional coordinates):
Sm (0.0000, 0.0000, 0.0000)
Fe (0.2982, 0.7018, 0.5000)
Fe (0.7018, 0.2982, 0.5000)
Sn (0.0701, 0.3337, 0.5000)
Sn (0.2843, 0.7157, 0.0000)
Sn (0.3337, 0.0701, 0.5000)
Sn (0.5000, 0.5000, 0.5000)
Sn (0.6663, 0.9299, 0.5000)
Sn (0.7157, 0.2843, 0.0000)
Sn (0.9299, 0.6663, 0.5000)

Density functional theory data (GGA-PBE) for SmFe4Sn after structural relaxation.

Calculated values
Formation energy from the elements (eV per atom): -0.022

Lattice parameters (Å, degrees): 5.0864 5.0864 5.0864 60.00 60.00 60.00
Atoms (fractional coordinates):
Sm (0.0000, 0.0000, 0.0000)
Fe (0.3755, 0.3755, 0.3755)
Fe (0.3755, 0.3755, 0.8735)
Fe (0.3755, 0.8735, 0.3755)
Fe (0.8735, 0.3755, 0.3755)
Sn (0.7500, 0.7500, 0.7500)

Density functional theory data (GGA-PBE) for Sm12FeSn6 after structural relaxation.

Calculated values
Formation energy from the elements (eV per atom): -0.345

Lattice parameters (Å, degrees): 8.7138 8.7138 8.7138 99.06 99.06 99.06
Atoms (fractional coordinates):
Sm (0.0051, 0.9502, 0.6898)
Sm (0.0498, 0.3102, 0.9949)
Sm (0.1957, 0.5611, 0.4268)
Sm (0.3102, 0.9949, 0.0498)
Sm (0.4268, 0.1957, 0.5611)
Sm (0.4389, 0.5732, 0.8043)
Sm (0.5611, 0.4268, 0.1957)
Sm (0.5732, 0.8043, 0.4389)
Sm (0.6898, 0.0051, 0.9502)
Sm (0.8043, 0.4389, 0.5732)
Sm (0.9502, 0.6898, 0.0051)
Sm (0.9949, 0.0498, 0.3102)
Fe (0.0000, 0.0000, 0.0000)
Sn (0.1216, 0.3124, 0.6466)
Sn (0.3124, 0.6466, 0.1216)
Sn (0.3534, 0.8784, 0.6876)
Sn (0.6466, 0.1216, 0.3124)
Sn (0.6876, 0.3534, 0.8784)
Sn (0.8784, 0.6876, 0.3534)

Density functional theory data (GGA-PBE) for Sm6Fe2Sn after structural relaxation.

Calculated values
Formation energy from the elements (eV per atom): -0.154

Lattice parameters (Å, degrees): 8.5629 8.5629 8.5629 112.04 109.36 107.06
Atoms (fractional coordinates):
Sm (0.0288, 0.2361, 0.7928)
Sm (0.1842, 0.2823, 0.4664)
Sm (0.1842, 0.7177, 0.9019)
Sm (0.3282, 0.0145, 0.6864)
Sm (0.3282, 0.6418, 0.3136)
Sm (0.4433, 0.2361, 0.2072)
Sm (0.5567, 0.7639, 0.7928)
Sm (0.6718, 0.3582, 0.6864)
Sm (0.6718, 0.9855, 0.3136)
Sm (0.8158, 0.2823, 0.0981)
Sm (0.8158, 0.7177, 0.5336)
Sm (0.9712, 0.7639, 0.2072)
Fe (0.1079, 0.6079, 0.5000)
Fe (0.3287, 0.0000, 0.3287)
Fe (0.6713, 0.0000, 0.6713)
Fe (0.8921, 0.3921, 0.5000)
Sn (0.0000, 0.0000, 0.0000)
Sn (0.5000, 0.5000, 0.0000)

Density functional theory data (GGA-PBE) for SmFeSn after structural relaxation.

Calculated values
Formation energy from the elements (eV per atom): -0.173

Lattice parameters (Å, degrees): 10.4338 10.4338 10.4338 22.36 22.36 22.36
Atoms (fractional coordinates):
Sm (0.0630, 0.0630, 0.0630)
Sm (0.9370, 0.9370, 0.9370)
Fe (0.3337, 0.3337, 0.3337)
Fe (0.6663, 0.6663, 0.6663)
Sn (0.1937, 0.1937, 0.1937)
Sn (0.8063, 0.8063, 0.8063)

Density functional theory data (GGA-PBE) for SmTaFe after structural relaxation.

Calculated values
Formation energy from the elements (eV per atom): 0.258

Lattice parameters (Å, degrees): 4.1921 4.1921 7.3714 90.00 90.00 90.00
Atoms (fractional coordinates):
Sm (0.2500, 0.2500, 0.1678)
Sm (0.7500, 0.7500, 0.8322)
Ta (0.2500, 0.2500, 0.6704)
Ta (0.7500, 0.7500, 0.3296)
Fe (0.2500, 0.7500, 0.5000)
Fe (0.7500, 0.2500, 0.5000)

Density functional theory data (GGA-PBE) for SmTaFe4 after structural relaxation.

Calculated values
Formation energy from the elements (eV per atom): 0.040

Lattice parameters (Å, degrees): 5.0233 5.0233 5.0233 60.00 60.00 60.00
Atoms (fractional coordinates):
Sm (0.0000, 0.0000, 0.0000)
Ta (0.2500, 0.2500, 0.2500)
Fe (0.1279, 0.6240, 0.6240)
Fe (0.6240, 0.1279, 0.6240)
Fe (0.6240, 0.6240, 0.1279)
Fe (0.6240, 0.6240, 0.6240)

Density functional theory data (GGA-PBE) for TbSmFe after structural relaxation.

Calculated values
Formation energy from the elements (eV per atom): 0.111
Distance to the lowest polymorph of the same formula (kJ/mol of atoms): 2.2

Lattice parameters (Å, degrees): 6.8921 6.8921 6.8921 151.29 151.29 41.05
Atoms (fractional coordinates):
Tb (0.0000, 0.0000, 0.0000)
Sm (0.2536, 0.2536, 0.0000)
Fe (0.6240, 0.6240, 0.0000)

Density functional theory data (GGA-PBE) for TbSmFe4 after structural relaxation.

Calculated values
Formation energy from the elements (eV per atom): -0.019

Lattice parameters (Å, degrees): 5.1883 5.1883 5.1883 60.00 60.00 60.00
Atoms (fractional coordinates):
Tb (0.0000, 0.0000, 0.0000)
Sm (0.2500, 0.2500, 0.2500)
Fe (0.1246, 0.6251, 0.6251)
Fe (0.6251, 0.1246, 0.6251)
Fe (0.6251, 0.6251, 0.1246)
Fe (0.6251, 0.6251, 0.6251)

Density functional theory data (GGA-PBE) for TbSm3Fe after structural relaxation.

Calculated values
Formation energy from the elements (eV per atom): 0.188

Lattice parameters (Å, degrees): 5.3501 5.3501 5.3501 90.00 90.00 90.00
Atoms (fractional coordinates):
Tb (0.0000, 0.0000, 0.0000)
Sm (0.0000, 0.5000, 0.5000)
Sm (0.5000, 0.0000, 0.5000)
Sm (0.5000, 0.5000, 0.0000)
Fe (0.5000, 0.5000, 0.5000)

Density functional theory data (GGA-PBE) for TbSmFe after structural relaxation.

Calculated values
Formation energy from the elements (eV per atom): 0.088
Distance to the lowest polymorph of the same formula (kJ/mol of atoms): 0.0

Lattice parameters (Å, degrees): 6.9448 6.9448 7.3973 90.00 90.00 119.95
Atoms (fractional coordinates):
Tb (0.2074, 0.2926, 0.2500)
Tb (0.2926, 0.2074, 0.7500)
Tb (0.7074, 0.7926, 0.2500)
Tb (0.7926, 0.7074, 0.7500)
Sm (0.1981, 0.8019, 0.3874)
Sm (0.3019, 0.6981, 0.8874)
Sm (0.6981, 0.3019, 0.1126)
Sm (0.8019, 0.1981, 0.6126)
Fe (0.0912, 0.9088, 0.0429)
Fe (0.4088, 0.5912, 0.5429)
Fe (0.5912, 0.4088, 0.4571)
Fe (0.9088, 0.0912, 0.9571)

Density functional theory data (GGA-PBE) for Tb2SmFe after structural relaxation.

Calculated values
Formation energy from the elements (eV per atom): 0.101
Distance to the lowest polymorph of the same formula (kJ/mol of atoms): 0.0

Lattice parameters (Å, degrees): 3.3738 3.3738 9.1323 90.00 90.00 90.00
Atoms (fractional coordinates):
Tb (0.0000, 0.0000, 0.1770)
Tb (0.0000, 0.0000, 0.8230)
Sm (0.5000, 0.5000, 0.5000)
Fe (0.5000, 0.5000, 0.0000)

Density functional theory data (GGA-PBE) for TbSm2Fe9 after structural relaxation.

Calculated values
Formation energy from the elements (eV per atom): -0.015

Lattice parameters (Å, degrees): 8.7299 8.7299 8.7299 34.23 34.23 34.23
Atoms (fractional coordinates):
Tb (0.0000, 0.0000, 0.0000)
Sm (0.1416, 0.1416, 0.1416)
Sm (0.8584, 0.8584, 0.8584)
Fe (0.0828, 0.5787, 0.5787)
Fe (0.3328, 0.3328, 0.3328)
Fe (0.4213, 0.4213, 0.9172)
Fe (0.4213, 0.9172, 0.4213)
Fe (0.5000, 0.5000, 0.5000)
Fe (0.5787, 0.0828, 0.5787)
Fe (0.5787, 0.5787, 0.0828)
Fe (0.6672, 0.6672, 0.6672)
Fe (0.9172, 0.4213, 0.4213)

Density functional theory data (GGA-PBE) for Tb3SmFe8 after structural relaxation.

Calculated values
Formation energy from the elements (eV per atom): -0.040

Lattice parameters (Å, degrees): 8.9500 8.9500 8.9500 33.56 33.56 33.56
Atoms (fractional coordinates):
Tb (0.0000, 0.0000, 0.0000)
Tb (0.1248, 0.1248, 0.1248)
Tb (0.6250, 0.6250, 0.6250)
Sm (0.4999, 0.4999, 0.4999)
Fe (0.0608, 0.5623, 0.5623)
Fe (0.0627, 0.0627, 0.5638)
Fe (0.0627, 0.5638, 0.0627)
Fe (0.3127, 0.3127, 0.3127)
Fe (0.5623, 0.0608, 0.5623)
Fe (0.5623, 0.5623, 0.0608)
Fe (0.5638, 0.0627, 0.0627)
Fe (0.8121, 0.8121, 0.8121)

Density functional theory data (GGA-PBE) for TbSm3Fe8 after structural relaxation.

Calculated values
Formation energy from the elements (eV per atom): 0.001

Lattice parameters (Å, degrees): 9.0075 9.0075 9.0075 33.55 33.55 33.55
Atoms (fractional coordinates):
Tb (0.0000, 0.0000, 0.0000)
Sm (0.1248, 0.1248, 0.1248)
Sm (0.4999, 0.4999, 0.4999)
Sm (0.6250, 0.6250, 0.6250)
Fe (0.0611, 0.5622, 0.5622)
Fe (0.0624, 0.0624, 0.5642)
Fe (0.0624, 0.5642, 0.0624)
Fe (0.3127, 0.3127, 0.3127)
Fe (0.5622, 0.0611, 0.5622)
Fe (0.5622, 0.5622, 0.0611)
Fe (0.5642, 0.0624, 0.0624)
Fe (0.8122, 0.8122, 0.8122)

Density functional theory data (GGA-PBE) for Tb2SmFe after structural relaxation.

Calculated values
Formation energy from the elements (eV per atom): 0.205
Distance to the lowest polymorph of the same formula (kJ/mol of atoms): 10.1

Lattice parameters (Å, degrees): 10.0103 10.0103 10.0103 20.65 20.65 20.65
Atoms (fractional coordinates):
Tb (0.2283, 0.2283, 0.2283)
Tb (0.7717, 0.7717, 0.7717)
Sm (0.0000, 0.0000, 0.0000)
Fe (0.5000, 0.5000, 0.5000)

Density functional theory data (GGA-PBE) for TbSmFe10 after structural relaxation.

Calculated values
Formation energy from the elements (eV per atom): -0.017

Lattice parameters (Å, degrees): 3.9484 5.0406 8.7000 90.00 90.00 90.00
Atoms (fractional coordinates):
Tb (0.0000, 0.0000, 0.0000)
Sm (0.0000, 0.5000, 0.5000)
Fe (0.0000, 0.0000, 0.3318)
Fe (0.0000, 0.0000, 0.6682)
Fe (0.0000, 0.5000, 0.1646)
Fe (0.0000, 0.5000, 0.8354)
Fe (0.5000, 0.0000, 0.5000)
Fe (0.5000, 0.2490, 0.2479)
Fe (0.5000, 0.2490, 0.7521)
Fe (0.5000, 0.5000, 0.0000)
Fe (0.5000, 0.7510, 0.2479)
Fe (0.5000, 0.7510, 0.7521)

Density functional theory data (GGA-PBE) for TbSmZnFe after structural relaxation.

Calculated values
Formation energy from the elements (eV per atom): -0.037

Lattice parameters (Å, degrees): 4.9759 4.9759 4.9759 60.00 60.00 60.00
Atoms (fractional coordinates):
Tb (0.0000, 0.0000, 0.0000)
Sm (0.5000, 0.5000, 0.5000)
Zn (0.7500, 0.7500, 0.7500)
Fe (0.2500, 0.2500, 0.2500)

Density functional theory data (GGA-PBE) for SmFe3Tc3 after structural relaxation.

Calculated values
Formation energy from the elements (eV per atom): 0.631

Lattice parameters (Å, degrees): 6.3879 6.3879 6.3879 90.00 90.00 90.00
Atoms (fractional coordinates):
Sm (0.0000, 0.0000, 0.0000)
Sm (0.5000, 0.5000, 0.5000)
Fe (0.0000, 0.2500, 0.5000)
Fe (0.0000, 0.7500, 0.5000)
Fe (0.2500, 0.5000, 0.0000)
Fe (0.5000, 0.0000, 0.2500)
Fe (0.5000, 0.0000, 0.7500)
Fe (0.7500, 0.5000, 0.0000)
Tc (0.0000, 0.5000, 0.2500)
Tc (0.0000, 0.5000, 0.7500)
Tc (0.2500, 0.0000, 0.5000)
Tc (0.5000, 0.2500, 0.0000)
Tc (0.5000, 0.7500, 0.0000)
Tc (0.7500, 0.0000, 0.5000)

Density functional theory data (GGA-PBE) for SmFeTc after structural relaxation.

Calculated values
Formation energy from the elements (eV per atom): 0.017
Distance to the lowest polymorph of the same formula (kJ/mol of atoms): 2.2

Lattice parameters (Å, degrees): 13.5003 13.5003 13.5003 22.77 22.77 22.77
Atoms (fractional coordinates):
Sm (0.0435, 0.0435, 0.0435)
Sm (0.1796, 0.1796, 0.1796)
Sm (0.2617, 0.2617, 0.2617)
Sm (0.7383, 0.7383, 0.7383)
Sm (0.8204, 0.8204, 0.8204)
Sm (0.9565, 0.9565, 0.9565)
Fe (0.2221, 0.7198, 0.7198)
Fe (0.2802, 0.2802, 0.7779)
Fe (0.2802, 0.7779, 0.2802)
Fe (0.7198, 0.2221, 0.7198)
Fe (0.7198, 0.7198, 0.2221)
Fe (0.7779, 0.2802, 0.2802)
Tc (0.0000, 0.5000, 0.5000)
Tc (0.3938, 0.3938, 0.3938)
Tc (0.5000, 0.0000, 0.5000)
Tc (0.5000, 0.5000, 0.0000)
Tc (0.5000, 0.5000, 0.5000)
Tc (0.6062, 0.6062, 0.6062)

So what do the calculations give for energy? Going down the list: -4.886; -7.118; -5.035; -5.626; -5.901; -8.087; -8.363; -5.826; -7.219; -5.262; -5.850; -5.510; -7.534; -7.232; -7.206; -5.405; -7.848; -4.809; -8.112; -7.832 eV per atom.